Record 1
Below is a relaxed structure of NaHfIn, with properties calculated at the PBE level.

- energy (eV per atom) = -4.56
- energy relative to the lowest polymorph listed for this composition (meV/atom) = 202
- formation enthalpy at 0 K (meV per atom) = 111
- symmetry = Pmm2, No. 25

POSCAR file:
```
NaHfIn
1.0
3.090 0.000 0.000
0.000 4.582 0.000
0.000 0.000 10.362
Na Hf In
2 2 2
Direct
0.000 0.000 0.000
0.500 0.500 0.184
0.000 0.000 0.383
0.000 0.000 0.677
0.500 0.500 0.515
0.500 0.500 0.819
```


Record 2
Below is a relaxed structure of CePm3Sm2P6, with properties calculated at the PBE level.

- energy (eV per atom) = -6.74
- formation enthalpy at 0 K (meV per atom) = -1567
- symmetry = C2/m, No. 12

POSCAR file:
```
CePm3Sm2P6
1.0
3.562 -6.167 0.000
3.562 6.167 0.000
-2.374 0.000 6.719
Ce Pm Sm P
1 3 2 6
Direct
0.000 0.000 0.000
0.167 0.833 0.500
0.500 0.500 0.500
0.833 0.167 0.500
0.334 0.666 0.000
0.666 0.334 0.000
0.082 0.411 0.247
0.247 0.247 0.754
0.411 0.082 0.247
0.589 0.918 0.753
0.753 0.753 0.246
0.918 0.589 0.753
```


Record 3
Below is a relaxed structure of Tl3ZnW, with properties calculated at the PBE level.

- energy (eV per atom) = -2.88
- energy relative to the lowest polymorph listed for this composition (meV/atom) = 491
- formation enthalpy at 0 K (meV per atom) = 1384
- symmetry = Pm-3m, No. 221

POSCAR file:
```
Tl3ZnW
1.0
5.261 0.000 0.000
0.000 5.261 0.000
0.000 0.000 5.261
Tl Zn W
3 1 1
Direct
0.000 0.000 0.500
0.000 0.500 0.000
0.500 0.000 0.000
0.000 0.000 0.000
0.500 0.500 0.500
```


Record 4
Below is a relaxed structure of RbTl4Sb, with properties calculated at the PBE level.

- energy (eV per atom) = -2.54
- energy relative to the lowest polymorph listed for this composition (meV/atom) = 0
- ΔE_f (raw) (eV per atom) = -0.1129
- symmetry = Pmma, No. 51

POSCAR file:
```
RbTl4Sb
1.0
10.639 0.000 0.000
0.000 4.496 0.000
0.000 0.000 9.128
Rb Tl Sb
2 8 2
Direct
0.250 0.000 0.136
0.750 0.000 0.864
0.000 0.000 0.500
0.043 0.500 0.801
0.250 0.500 0.475
0.457 0.500 0.801
0.500 0.000 0.500
0.543 0.500 0.199
0.750 0.500 0.525
0.957 0.500 0.199
0.250 0.000 0.739
0.750 0.000 0.261
```


Record 5
Below is a relaxed structure of SmCoN, with properties calculated at the PBE level.

- energy (eV per atom) = -7.02
- ΔE_f (raw) (eV per atom) = -0.3036
- symmetry = P3m1, No. 156

POSCAR file:
```
SmCoN
1.0
3.525 0.000 0.000
-1.763 3.053 0.000
0.000 0.000 3.819
Sm Co N
1 1 1
Direct
0.000 0.000 0.000
0.667 0.333 0.501
0.333 0.667 0.504
```


Record 6
Below is a relaxed structure of NbZnRe, with properties calculated at the PBE level.

- energy (eV per atom) = -7.68
- formation enthalpy at 0 K (meV per atom) = 250
- symmetry = R-3m, No. 166

POSCAR file:
```
NbZnRe
1.0
2.287 1.320 5.853
-2.287 1.320 5.853
0.000 -2.641 5.853
Nb Zn Re
2 2 2
Direct
0.214 0.214 0.214
0.786 0.786 0.786
0.384 0.384 0.384
0.616 0.616 0.616
0.072 0.072 0.072
0.928 0.928 0.928
```